No. 1
Ac2Ni3Sb4Pt | PBE | optimized geometry

```
data_Ac2Ni3Sb4Pt
_chemical_formula_sum 'Ac2 Ni3 Sb4 Pt1'
_cell_length_a 4.6530
_cell_length_b 4.6530
_cell_length_c 10.2198
_cell_angle_alpha 90.00
_cell_angle_beta 90.00
_cell_angle_gamma 90.00
_space_group_name_H-M_alt 'P -4 m 2'
_space_group_IT_number 115
loop_
_space_group_symop_operation_xyz
'x,y,z'
'y,-x,-z'
'-x,-y,z'
'-y,x,-z'
'-x,y,z'
'-y,-x,-z'
'x,-y,z'
'y,x,-z'
loop_
_atom_site_label
_atom_site_type_symbol
_atom_site_fract_x
_atom_site_fract_y
_atom_site_fract_z
_atom_site_occupancy
Ac1 Ac 0.0000 0.5000 0.2424 1
Ni1 Ni 0.0000 0.0000 0.0000 1
Ni2 Ni 0.0000 0.5000 0.6161 1
Sb1 Sb 0.0000 0.0000 0.5000 1
Sb2 Sb 0.0000 0.5000 0.8673 1
Sb3 Sb 0.5000 0.5000 0.5000 1
Pt1 Pt 0.5000 0.5000 0.0000 1
```

## Properties
The calculation puts the total magnetic moment at 0.000 μB/atom. The value obtained for the uncorrected energy is -5.53 eV per atom. The volume comes out at 22.13 A^3/atom. The energy relative to the elements, uncorrected is -0.73 eV per atom. For the density, the calculation gives 9.85 g/cm³.

No. 2
AcNbS4 | PBE | optimized geometry

```
data_AcNbS4
_chemical_formula_sum 'Ac4 Nb4 S16'
_cell_length_a 4.8655
_cell_length_b 17.1313
_cell_length_c 7.0455
_cell_angle_alpha 90.00
_cell_angle_beta 90.00
_cell_angle_gamma 90.00
_space_group_name_H-M_alt 'C m c 21'
_space_group_IT_number 36
loop_
_space_group_symop_operation_xyz
'x,y,z'
'-x,-y,z+1/2'
'-x,y,z'
'x,-y,z+1/2'
'x+1/2,y+1/2,z'
'-x+1/2,-y+1/2,z+1/2'
'-x+1/2,y+1/2,z'
'x+1/2,-y+1/2,z+1/2'
loop_
_atom_site_label
_atom_site_type_symbol
_atom_site_fract_x
_atom_site_fract_y
_atom_site_fract_z
_atom_site_occupancy
Ac1 Ac 0.0000 0.1534 0.0000 1
Nb1 Nb 0.0000 0.4042 0.0675 1
S1 S 0.0000 0.0865 0.6004 1
S2 S 0.0000 0.2900 0.2832 1
S3 S 0.0000 0.3353 0.7911 1
S4 S 0.0000 0.4632 0.4452 1
```

## Properties
The calculation puts the total magnetic moment at 0.000 μB/atom. The value obtained for the uncorrected energy is -6.44 eV per atom. The volume comes out at 24.47 A^3/atom. The energy relative to the elements, uncorrected is -1.32 eV per atom. The energy relative to the lowest polymorph listed for this composition comes out at 0.0 meV per atom. For the density, the calculation gives 5.07 g/cm³.

No. 3
FePHAuC | PBE | optimized geometry

```
data_FePHAuC
_chemical_formula_sum 'Fe2 P2 H2 Au2 C2'
_cell_length_a 7.2547
_cell_length_b 2.6612
_cell_length_c 6.6302
_cell_angle_alpha 90.00
_cell_angle_beta 102.72
_cell_angle_gamma 90.00
_space_group_name_H-M_alt 'C 1 m 1'
_space_group_IT_number 8
loop_
_space_group_symop_operation_xyz
'x,y,z'
'x,-y,z'
'x+1/2,y+1/2,z'
'x+1/2,-y+1/2,z'
loop_
_atom_site_label
_atom_site_type_symbol
_atom_site_fract_x
_atom_site_fract_y
_atom_site_fract_z
_atom_site_occupancy
Fe1 Fe 0.0000 0.0000 0.0000 1
P1 P 0.3006 0.0000 0.1518 1
H1 H 0.1994 0.5000 0.7687 1
Au1 Au 0.3898 0.0000 0.5243 1
C1 C 0.0695 0.5000 0.8311 1
```

## Properties
The calculation puts the total magnetic moment at 0.000 μB/atom. The value obtained for the uncorrected energy is -5.62 eV per atom. The volume comes out at 12.49 A^3/atom. The energy relative to the lowest polymorph listed for this composition comes out at 56.1 meV per atom. For the density, the calculation gives 7.89 g/cm³.

No. 4
Nd4Mg5Co2 | PBE | optimized geometry

```
data_Nd4Mg5Co2
_chemical_formula_sum 'Nd4 Mg5 Co2'
_cell_length_a 8.0039
_cell_length_b 3.6801
_cell_length_c 9.7176
_cell_angle_alpha 90.00
_cell_angle_beta 94.55
_cell_angle_gamma 90.00
_space_group_name_H-M_alt 'P 1 2/m 1'
_space_group_IT_number 10
loop_
_space_group_symop_operation_xyz
'x,y,z'
'-x,-y,-z'
'-x,y,-z'
'x,-y,z'
loop_
_atom_site_label
_atom_site_type_symbol
_atom_site_fract_x
_atom_site_fract_y
_atom_site_fract_z
_atom_site_occupancy
Nd1 Nd 0.1703 0.0000 0.3374 1
Nd2 Nd 0.2033 0.0000 0.9455 1
Mg1 Mg 0.1757 0.5000 0.6482 1
Mg2 Mg 0.4524 0.5000 0.1703 1
Mg3 Mg 0.5000 0.5000 0.5000 1
Co1 Co 0.0724 0.5000 0.1372 1
```

## Properties
The calculation puts the total magnetic moment at 0.000 μB/atom. The value obtained for the uncorrected energy is -3.82 eV per atom. The volume comes out at 25.94 A^3/atom. For the formation energy, the calculation gives -0.07 eV/atom. For the density, the calculation gives 4.75 g/cm³.

No. 5
YMnAl2 | PBE | optimized geometry

```
data_YMnAl2
_chemical_formula_sum 'Y2 Mn2 Al4'
_cell_length_a 7.3781
_cell_length_b 4.2663
_cell_length_c 5.6025
_cell_angle_alpha 90.00
_cell_angle_beta 116.08
_cell_angle_gamma 90.00
_space_group_name_H-M_alt 'C 1 2/m 1'
_space_group_IT_number 12
loop_
_space_group_symop_operation_xyz
'x,y,z'
'-x,-y,-z'
'-x,y,-z'
'x,-y,z'
'x+1/2,y+1/2,z'
'-x+1/2,-y+1/2,-z'
'-x+1/2,y+1/2,-z'
'x+1/2,-y+1/2,z'
loop_
_atom_site_label
_atom_site_type_symbol
_atom_site_fract_x
_atom_site_fract_y
_atom_site_fract_z
_atom_site_occupancy
Y1 Y 0.0000 0.0000 0.0000 1
Mn1 Mn 0.0000 0.5000 0.5000 1
Al1 Al 0.2108 0.0000 0.6326 1
```

## Properties
The calculation puts the total magnetic moment at 0.637 μB/atom. The value obtained for the uncorrected energy is -5.99 eV per atom. The volume comes out at 19.80 A^3/atom. For the formation energy, the calculation gives -0.21 eV/atom. For the density, the calculation gives 4.15 g/cm³.

No. 6
Sm8TmPb6 | PBE | optimized geometry

```
data_Sm8TmPb6
_chemical_formula_sum 'Sm24 Tm3 Pb18'
_cell_length_a 9.3158
_cell_length_b 9.3158
_cell_length_c 19.9390
_cell_angle_alpha 90.00
_cell_angle_beta 90.00
_cell_angle_gamma 120.00
_space_group_name_H-M_alt 'R -3'
_space_group_IT_number 148
_space_group_name_Hall '-R 3'
loop_
_atom_site_label
_atom_site_type_symbol
_atom_site_fract_x
_atom_site_fract_y
_atom_site_fract_z
_atom_site_occupancy
Sm1 Sm 0.0000 0.0000 0.1663 1
Sm2 Sm 0.0006 0.6642 0.3968 1
Tm1 Tm 0.0000 0.0000 0.5000 1
Pb1 Pb 0.9998 0.3286 0.4314 1
```

## Properties
The calculation puts the total magnetic moment at 0.000 μB/atom. The value obtained for the uncorrected energy is -4.67 eV per atom. The volume comes out at 33.30 A^3/atom. For the formation energy, the calculation gives -0.37 eV/atom. For the density, the calculation gives 8.69 g/cm³.

No. 7
Mn4Os3 | PBE | optimized geometry

```
data_Mn4Os3
_chemical_formula_sum 'Mn8 Os6'
_cell_length_a 6.9243
_cell_length_b 6.9243
_cell_length_c 4.1902
_cell_angle_alpha 90.00
_cell_angle_beta 90.00
_cell_angle_gamma 120.00
_space_group_name_H-M_alt 'P 63/m'
_space_group_IT_number 176
_space_group_name_Hall '-P 6c'
loop_
_atom_site_label
_atom_site_type_symbol
_atom_site_fract_x
_atom_site_fract_y
_atom_site_fract_z
_atom_site_occupancy
Mn1 Mn 0.1042 0.4881 0.2500 1
Mn2 Mn 0.3333 0.6667 0.7500 1
Os1 Os 0.0550 0.2571 0.7500 1
```

## Properties
The calculation puts the total magnetic moment at 0.000 μB/atom. The value obtained for the uncorrected energy is -10.04 eV per atom. The volume comes out at 12.43 A^3/atom. The energy relative to the lowest polymorph listed for this composition comes out at 0.0 meV per atom. For the formation energy, the calculation gives 0.02 eV/atom. For the density, the calculation gives 15.09 g/cm³.

No. 8
La3AuC | PBE | optimized geometry

```
data_La3AuC
_chemical_formula_sum 'La6 Au2 C2'
_cell_length_a 7.5153
_cell_length_b 3.8719
_cell_length_c 9.8891
_cell_angle_alpha 90.00
_cell_angle_beta 106.51
_cell_angle_gamma 90.00
_space_group_name_H-M_alt 'P 1 21/m 1'
_space_group_IT_number 11
loop_
_space_group_symop_operation_xyz
'x,y,z'
'-x,-y,-z'
'-x,y+1/2,-z'
'x,-y+1/2,z'
loop_
_atom_site_label
_atom_site_type_symbol
_atom_site_fract_x
_atom_site_fract_y
_atom_site_fract_z
_atom_site_occupancy
La1 La 0.0830 0.2500 0.3733 1
La2 La 0.2233 0.2500 0.9164 1
La3 La 0.4130 0.7500 0.6734 1
Au1 Au 0.2504 0.7500 0.1697 1
C1 C 0.1698 0.2500 0.6516 1
```

## Properties
The calculation puts the total magnetic moment at 0.000 μB/atom. The value obtained for the uncorrected energy is -5.83 eV per atom. The volume comes out at 27.59 A^3/atom. The energy relative to the lowest polymorph listed for this composition comes out at 10.6 meV per atom. For the formation energy, the calculation gives -0.37 eV/atom. For the density, the calculation gives 7.53 g/cm³.

No. 9
TbPr6Sm5 | PBE | optimized geometry

```
data_TbPr6Sm5
_chemical_formula_sum 'Tb2 Pr12 Sm10'
_cell_length_a 6.3644
_cell_length_b 11.0271
_cell_length_c 12.0931
_cell_angle_alpha 90.00
_cell_angle_beta 100.12
_cell_angle_gamma 90.00
_space_group_name_H-M_alt 'C 1 2/m 1'
_space_group_IT_number 12
loop_
_space_group_symop_operation_xyz
'x,y,z'
'-x,-y,-z'
'-x,y,-z'
'x,-y,z'
'x+1/2,y+1/2,z'
'-x+1/2,-y+1/2,-z'
'-x+1/2,y+1/2,-z'
'x+1/2,-y+1/2,z'
loop_
_atom_site_label
_atom_site_type_symbol
_atom_site_fract_x
_atom_site_fract_y
_atom_site_fract_z
_atom_site_occupancy
Tb1 Tb 0.0000 0.0000 0.0000 1
Pr1 Pr 0.2491 0.1664 0.2494 1
Pr2 Pr 0.2501 0.0000 0.7507 1
Sm1 Sm 0.0000 0.1665 0.5000 1
Sm2 Sm 0.0000 0.3332 0.0000 1
Sm3 Sm 0.0000 0.5000 0.5000 1
```

## Properties
The calculation puts the total magnetic moment at 0.000 μB/atom. The value obtained for the uncorrected energy is -4.73 eV per atom. The volume comes out at 34.81 A^3/atom. For the formation energy, the calculation gives 0.01 eV/atom. For the density, the calculation gives 6.98 g/cm³.

No. 10
CaIn2Cl | PBE | optimized geometry

```
data_CaIn2Cl
_chemical_formula_sum 'Ca1 In2 Cl1'
_cell_length_a 4.0863
_cell_length_b 4.1561
_cell_length_c 6.8317
_cell_angle_alpha 90.00
_cell_angle_beta 90.00
_cell_angle_gamma 90.00
_space_group_name_H-M_alt 'P m m 2'
_space_group_IT_number 25
loop_
_space_group_symop_operation_xyz
'x,y,z'
'-x,-y,z'
'-x,y,z'
'x,-y,z'
loop_
_atom_site_label
_atom_site_type_symbol
_atom_site_fract_x
_atom_site_fract_y
_atom_site_fract_z
_atom_site_occupancy
Ca1 Ca 0.0000 0.0000 0.0000 1
In1 In 0.0000 0.0000 0.4941 1
In2 In 0.5000 0.5000 0.6002 1
Cl1 Cl 0.5000 0.5000 0.0587 1
```

## Properties
The calculation puts the total magnetic moment at 0.000 μB/atom. The value obtained for the uncorrected energy is -3.08 eV per atom. The volume comes out at 29.01 A^3/atom. The energy relative to the elements, uncorrected is -0.75 eV per atom. The energy relative to the lowest polymorph listed for this composition comes out at 85.8 meV per atom. For the density, the calculation gives 4.37 g/cm³.

No. 11
PaZnH6Rh | PBE | optimized geometry

```
data_PaZnH6Rh
_chemical_formula_sum 'Pa1 Zn1 H6 Rh1'
_cell_length_a 4.4160
_cell_length_b 4.4160
_cell_length_c 4.4144
_cell_angle_alpha 90.00
_cell_angle_beta 90.00
_cell_angle_gamma 120.00
_space_group_name_H-M_alt 'P -6 m 2'
_space_group_IT_number 187
_space_group_name_Hall 'P -6 2'
loop_
_atom_site_label
_atom_site_type_symbol
_atom_site_fract_x
_atom_site_fract_y
_atom_site_fract_z
_atom_site_occupancy
Pa1 Pa 0.0000 0.0000 0.0000 1
Zn1 Zn 0.3333 0.6667 0.5000 1
H1 H 0.5056 0.0112 0.1939 1
Rh1 Rh 0.6667 0.3333 0.5000 1
```

## Properties
The calculation puts the total magnetic moment at 0.000 μB/atom. The value obtained for the uncorrected energy is -4.40 eV per atom. The volume comes out at 8.28 A^3/atom. For the density, the calculation gives 9.03 g/cm³.

No. 12
LaHf3Ti | PBE | optimized geometry

```
data_LaHf3Ti
_chemical_formula_sum 'La1 Hf3 Ti1'
_cell_length_a 5.0928
_cell_length_b 5.0928
_cell_length_c 5.0928
_cell_angle_alpha 90.00
_cell_angle_beta 90.00
_cell_angle_gamma 90.00
_space_group_name_H-M_alt 'P m -3 m'
_space_group_IT_number 221
_space_group_name_Hall '-P 4 2 3'
loop_
_atom_site_label
_atom_site_type_symbol
_atom_site_fract_x
_atom_site_fract_y
_atom_site_fract_z
_atom_site_occupancy
La1 La 0.0000 0.0000 0.0000 1
Hf1 Hf 0.0000 0.5000 0.5000 1
Ti1 Ti 0.5000 0.5000 0.5000 1
```

## Properties
The calculation puts the total magnetic moment at 0.000 μB/atom. The value obtained for the uncorrected energy is -7.89 eV per atom. The volume comes out at 26.42 A^3/atom. The energy relative to the lowest polymorph listed for this composition comes out at 0.0 meV per atom. For the formation energy, the calculation gives 0.64 eV/atom. For the density, the calculation gives 9.08 g/cm³.